First-principles (PBE-GGA) data for a relaxed LiTcBiAs crystal, as listed in OQMD. Values from VASP.

Results
The energy above the most stable polymorph in this dataset is 0 meV/atom. As for the calculated density: 9.15 g cm⁻³.

Geometry as Quantum ESPRESSO input:
```
&SYSTEM
  ibrav = 0, nat = 4, ntyp = 4
/
ATOMIC_SPECIES
As 74.92 As.upf
Bi 208.98 Bi.upf
Li 6.94 Li.upf
Tc 98.00 Tc.upf
CELL_PARAMETERS angstrom
-0.936 -4.508 -0.567
-3.911 -1.793 1.735
-3.412 -1.319 -2.853
ATOMIC_POSITIONS crystal
As 0.500 0.500 0.500
Bi 0.000 0.000 0.000
Li 0.750 0.750 0.750
Tc 0.250 0.250 0.250
```

First-principles (PBE-GGA) data for a relaxed ErAlIr crystal, as listed in OQMD. Values from VASP.

Results
Its total energy is -6.413 eV/atom. As for the calculated density: 9.90 g cm⁻³.

Geometry as Quantum ESPRESSO input:
```
&SYSTEM
  ibrav = 0, nat = 3, ntyp = 3
/
ATOMIC_SPECIES
Al 26.98 Al.upf
Er 167.26 Er.upf
Ir 192.22 Ir.upf
CELL_PARAMETERS angstrom
-0.625 2.346 3.800
3.409 2.350 1.786
-0.063 4.508 -0.117
ATOMIC_POSITIONS crystal
Al 0.750 0.750 0.750
Er 0.250 0.250 0.250
Ir 0.000 0.000 0.000
```

calculated density of number 2 (ErAlIr)? 9.90 g cm⁻³